No. 1
First-principles (PBE) data for crystalline CoCuHgOsRu at its relaxed geometry, as listed in the Alexandria database.

The formation energy is 480 meV per atom. Its calculated volume is 75.4 Å³/f.u. The value obtained for the total energy is -5.92 eV/atom. The magnetic moment is 3.67 μB/cell. For the energy above the most stable polymorph in this dataset, the calculation gives 202 meV/atom. The calculation puts the density of states at the Fermi level at 0.968 states/eV per atom.

The structure belongs to space group Cm (No. 8); the cell edges are 8.895, 2.777 and 6.576 Å and the angles 90.00°, 111.84° and 90.00°. Symmetry generates all atoms from Co at (0.000, 0.000, 0.000), Cu at (0.153, 0.500, 0.785), Hg at (0.336, 0.000, 0.610), Os at (0.034, 0.500, 0.329) and Ru at (0.273, 0.500, 0.194).

***

No. 2
First-principles (PBE) data for crystalline GaMo2C at its relaxed geometry, as listed in the Alexandria database.

The formation energy is -42 meV per atom. Its calculated volume is 55.0 Å³/f.u. The value obtained for the total energy is -8.52 eV/atom. The magnetic moment is 0.00 μB/cell. For the energy above the most stable polymorph in this dataset, the calculation gives 82 meV/atom. The calculation puts the density of states at the Fermi level at 1.108 states/eV per atom.

The structure belongs to space group C2/m (No. 12); the cell edges are 5.260, 3.070 and 6.949 Å and the angles 90.00°, 101.58° and 90.00°. Symmetry generates all atoms from Ga at (0.000, 0.000, 0.000), Mo at (0.208, 0.000, 0.672) and C at (0.000, 0.500, 0.500).

***

No. 3
First-principles (PBE) data for crystalline PuSc2Cl6 at its relaxed geometry, as listed in the Alexandria database.

As for the uncorrected formation energy: -42.5 kcal/mol of atoms. Its calculated volume is 245.9 Å³/f.u. The value obtained for the total energy is -6.07 eV/atom. The magnetic moment is 15.99 μB/cell. The calculation puts the density of states at the Fermi level at 0.789 states/eV per atom.

The structure belongs to space group C2/m (No. 12); the cell edges are 15.133, 3.674 and 9.662 Å and the angles 90.00°, 113.74° and 90.00°. Symmetry generates all atoms from Pu at (0.000, 0.000, 0.000), Sc at (0.155, 0.500, 0.313), Cl at (0.035, 0.000, 0.312), Cl at (0.151, 0.500, 0.048) and Cl at (0.211, 0.500, 0.615).

***

No. 4
First-principles (PBE) data for crystalline Na5Tb3Cl12 at its relaxed geometry, as listed in the Alexandria database.

As for the uncorrected formation energy: -40.7 kcal/mol of atoms. Its calculated volume is 517.7 Å³/f.u. The value obtained for the total energy is -3.90 eV/atom. The magnetic moment is 16.10 μB/cell. The calculation puts the density of states at the Fermi level at 0.389 states/eV per atom.

The structure belongs to space group Ia-3d (No. 230); the cell edges are 16.059, 16.059 and 16.059 Å and the angles 90.00°, 90.00° and 90.00°. Symmetry generates all atoms from Na at (0.000, 0.000, 0.000), Na at (0.000, 0.250, 0.375), Tb at (0.000, 0.250, 0.125) and Cl at (0.020, 0.072, 0.654).

***

No. 5
First-principles (PBE) data for crystalline SiOs3Pb at its relaxed geometry, as listed in the Alexandria database.

As for the uncorrected formation energy: 27.4 kcal/mol of atoms. Its calculated volume is 89.4 Å³/f.u. The value obtained for the total energy is -7.37 eV/atom. The magnetic moment is 0.00 μB/cell. For the energy above the most stable polymorph in this dataset, the calculation gives 0 meV/atom. The calculation puts the density of states at the Fermi level at 0.789 states/eV per atom.

The structure belongs to space group Pm-3m (No. 221); the cell edges are 4.471, 4.471 and 4.471 Å and the angles 90.00°, 90.00° and 90.00°. Symmetry generates all atoms from Si at (0.000, 0.000, 0.000), Os at (0.000, 0.000, 0.500) and Pb at (0.500, 0.500, 0.500).

***

No. 6
First-principles (PBE) data for crystalline CaSnF4 at its relaxed geometry, as listed in the Alexandria database.

As for the uncorrected formation energy: -70.9 kcal/mol of atoms. Its calculated volume is 92.7 Å³/f.u. The value obtained for the total energy is -5.32 eV/atom. The magnetic moment is 0.00 μB/cell. The calculation puts the density of states at the Fermi level at 0.000 states/eV per atom.

The structure belongs to space group P4/mmm (No. 123); the cell edges are 4.013, 4.013 and 5.757 Å and the angles 90.00°, 90.00° and 90.00°. Symmetry generates all atoms from Ca at (0.000, 0.000, 0.000), Sn at (0.500, 0.500, 0.500) and F at (0.000, 0.500, 0.235).

***

No. 7
First-principles (PBE) data for crystalline Pm3Sm6Dy at its relaxed geometry, as listed in the Alexandria database.

The formation energy is 274 meV per atom. Its calculated volume is 348.9 Å³/f.u. The value obtained for the total energy is -4.44 eV/atom. The magnetic moment is 0.00 μB/cell. For the energy above the most stable polymorph in this dataset, the calculation gives 132 meV/atom. The calculation puts the density of states at the Fermi level at 1.652 states/eV per atom.

The structure belongs to space group C2/m (No. 12); the cell edges are 11.469, 7.059 and 8.829 Å and the angles 90.00°, 102.51° and 90.00°. Symmetry generates all atoms from Pm at (0.000, 0.000, 0.000), Pm at (0.037, 0.500, 0.842), Sm at (0.162, 0.500, 0.493), Sm at (0.245, 0.273, 0.190) and Dy at (0.000, 0.000, 0.500).

***

No. 8
First-principles (PBE) data for crystalline Sm2MgSb3Rh4 at its relaxed geometry, as listed in the Alexandria database.

As for the uncorrected formation energy: -18.3 kcal/mol of atoms. Its calculated volume is 208.4 Å³/f.u. The value obtained for the total energy is -6.07 eV/atom. The magnetic moment is 0.00 μB/cell. The calculation puts the density of states at the Fermi level at 0.488 states/eV per atom.

The structure belongs to space group P-4m2 (No. 115); the cell edges are 4.315, 4.315 and 11.194 Å and the angles 90.00°, 90.00° and 90.00°. Symmetry generates all atoms from Sm at (0.000, 0.500, 0.249), Mg at (0.500, 0.500, 0.000), Sb at (0.000, 0.000, 0.000), Sb at (0.000, 0.500, 0.635), Rh at (0.000, 0.000, 0.500), Rh at (0.000, 0.500, 0.861) and Rh at (0.500, 0.500, 0.500).

***

No. 9
First-principles (PBE) data for crystalline KTlI2 at its relaxed geometry, as listed in the Alexandria database.

As for the uncorrected formation energy: -22.8 kcal/mol of atoms. Its calculated volume is 250.1 Å³/f.u. The value obtained for the total energy is -2.63 eV/atom. The magnetic moment is 0.00 μB/cell. For the energy above the most stable polymorph in this dataset, the calculation gives 81 meV/atom. The calculation puts the density of states at the Fermi level at 0.000 states/eV per atom.

The structure belongs to space group I-42d (No. 122); the cell edges are 7.905, 7.905 and 16.011 Å and the angles 90.00°, 90.00° and 90.00°. Symmetry generates all atoms from K at (0.000, 0.000, 0.000), Tl at (0.000, 0.000, 0.500) and I at (0.247, 0.250, 0.625).

***

No. 10
First-principles (PBE) data for crystalline Ac2Ga5Ge3 at its relaxed geometry, as listed in the Alexandria database.

The formation energy is -376 meV per atom. Its calculated volume is 226.8 Å³/f.u. The value obtained for the total energy is -4.10 eV/atom. The magnetic moment is 0.00 μB/cell. For the energy above the most stable polymorph in this dataset, the calculation gives 19 meV/atom. The calculation puts the density of states at the Fermi level at 0.489 states/eV per atom.

The structure belongs to space group P-4m2 (No. 115); the cell edges are 4.847, 4.847 and 9.654 Å and the angles 90.00°, 90.00° and 90.00°. Symmetry generates all atoms from Ac at (0.000, 0.500, 0.247), Ga at (0.000, 0.000, 0.000), Ga at (0.000, 0.000, 0.500), Ga at (0.000, 0.500, 0.881), Ga at (0.500, 0.500, 0.000), Ge at (0.000, 0.500, 0.616) and Ge at (0.500, 0.500, 0.500).

***

No. 11
First-principles (PBE) data for crystalline Mg2Ni2As at its relaxed geometry, as listed in the Alexandria database.

The formation energy is -287 meV per atom. Its calculated volume is 77.0 Å³/f.u. The value obtained for the total energy is -4.17 eV/atom. The magnetic moment is 0.00 μB/cell. For the energy above the most stable polymorph in this dataset, the calculation gives 0 meV/atom. The calculation puts the density of states at the Fermi level at 0.539 states/eV per atom.

The structure belongs to space group P4/mbm (No. 127); the cell edges are 6.143, 6.143 and 4.081 Å and the angles 90.00°, 90.00° and 90.00°. Symmetry generates all atoms from Mg at (0.165, 0.335, 0.000), Ni at (0.144, 0.644, 0.500) and As at (0.000, 0.000, 0.500).

***

No. 12
First-principles (PBE) data for crystalline La3Tb2CeSb6 at its relaxed geometry, as listed in the Alexandria database.

As for the uncorrected formation energy: -27.6 kcal/mol of atoms. Its calculated volume is 394.8 Å³/f.u. The value obtained for the total energy is -5.75 eV/atom. The magnetic moment is 1.29 μB/cell. The calculation puts the density of states at the Fermi level at 0.526 states/eV per atom.

The structure belongs to space group C2/m (No. 12); the cell edges are 7.846, 13.589 and 7.855 Å and the angles 90.00°, 109.47° and 90.00°. Symmetry generates all atoms from La at (0.000, 0.000, 0.000), La at (0.000, 0.334, 0.000), Tb at (0.000, 0.167, 0.500), Ce at (0.000, 0.500, 0.500), Sb at (0.244, 0.000, 0.738) and Sb at (0.247, 0.332, 0.739).